This record from the Alexandria database describes a relaxed structure of YAlNi2. The functional is PBE-GGA.

Unit cell a=3.2554 b=3.2554 c=6.1902 alpha=90.00 beta=90.00 gamma=90.00
With the nearest neighbours (Å) after each atom.
Sites, in units of the cell vectors:
Y 0.0000 0.0000 0.0000  5 Ni 2.79-2.95
Al 0.5000 0.5000 0.3612  5 Ni 2.38-2.51
Ni 0.0000 0.0000 0.5238  4 Al 2.51, 4 Ni 2.68
Ni 0.5000 0.5000 0.7456  1 Al 2.38

Values from the calculation:
ΔH_f (0 K), eV per formula unit: -1.1
Space-group type: No. 99

This record from the Alexandria database describes a relaxed structure of Ti2Al6Fe. The functional is PBE-GGA.

Unit cell a=6.4917 b=6.4917 c=4.0706 alpha=90.00 beta=90.00 gamma=123.22
With the nearest neighbours (Å) after each atom.
Sites, in units of the cell vectors:
Ti 0.2250 0.7750 0.0000  10 Al 2.86-2.91, 2 Ti 3.14
Ti 0.7750 0.2250 0.0000  10 Al 2.86-2.91, 2 Ti 3.14
Al 0.1446 0.4266 0.5000  1 Fe 2.39, 4 Al 2.53-2.65
Al 0.2211 0.2211 0.0000  2 Fe 2.45, 5 Al 2.63-2.73
Al 0.4266 0.1446 0.5000  1 Fe 2.39, 4 Al 2.53-2.65
Al 0.5734 0.8554 0.5000  1 Fe 2.39, 4 Al 2.53-2.65
Al 0.7789 0.7789 0.0000  2 Fe 2.45, 5 Al 2.63-2.73
Al 0.8554 0.5734 0.5000  1 Fe 2.39, 4 Al 2.53-2.65
Fe 0.0000 0.0000 0.5000  8 Al 2.39-2.45

Values from the calculation:
ΔH_f (0 K), eV per formula unit: -2.6
Space-group type: No. 65

This record from the Alexandria database describes a relaxed structure of Pa2SeS3. The functional is PBE-GGA.

Unit cell a=8.5934 b=8.5934 c=12.1415 alpha=122.35 beta=122.35 gamma=27.91
With the nearest neighbours (Å) after each atom.
Sites, in units of the cell vectors:
Pa 0.1222 0.1222 0.4369  5 S 2.71-2.76, 1 Se 3.03
Pa 0.3662 0.3662 0.1460  4 S 2.66-2.73, 2 Se 2.88
Pa 0.6338 0.6338 0.8540  4 S 2.66-2.73, 2 Se 2.88
Pa 0.8778 0.8778 0.5631  5 S 2.71-2.76, 1 Se 3.03
Se 0.0891 0.0891 0.6633  4 Pa 2.88-3.09
Se 0.9109 0.9109 0.3367  4 Pa 2.88-3.09
S 0.1709 0.1709 0.0199  3 Pa 2.71-2.73
S 0.2701 0.2701 0.4037  3 Pa 2.71-2.73
S 0.4446 0.4446 0.7426  3 Pa 2.66-2.76
S 0.5554 0.5554 0.2574  3 Pa 2.66-2.76
S 0.7299 0.7299 0.5963  3 Pa 2.71-2.73
S 0.8291 0.8291 0.9801  3 Pa 2.71-2.73

Values from the calculation:
E above lowest polymorph, meV per atom: 0.0
Space-group type: No. 12

This record from the Alexandria database describes a relaxed structure of AcRuO5. The functional is PBE-GGA.

Unit cell a=8.0664 b=8.0664 c=4.5427 alpha=90.00 beta=90.00 gamma=90.00
With the nearest neighbours (Å) after each atom.
Sites, in units of the cell vectors:
Ac 0.2500 0.2500 0.2470  2 O 2.27
Ac 0.7500 0.7500 0.7530  2 O 2.27
Ru 0.2500 0.7500 0.5000  4 O 1.76
Ru 0.7500 0.2500 0.5000  4 O 1.76
O 0.0721 0.7500 0.7258  1 Ru 1.76
O 0.2500 0.2500 0.7476  2 Ac 2.27
O 0.2500 0.5721 0.2742  1 Ru 1.76
O 0.2500 0.9279 0.2742  1 Ru 1.76
O 0.4279 0.7500 0.7258  1 Ru 1.76
O 0.5721 0.2500 0.2742  1 Ru 1.76
O 0.7500 0.0721 0.7258  1 Ru 1.76
O 0.7500 0.4279 0.7258  1 Ru 1.76
O 0.7500 0.7500 0.2524  2 Ac 2.27
O 0.9279 0.2500 0.2742  1 Ru 1.76

Values from the calculation:
E above lowest polymorph, meV per atom: 18.5
Space-group type: No. 129

This record from the Alexandria database describes a relaxed structure of CaLaSm2. The functional is PBE-GGA.

Unit cell a=8.3465 b=8.3465 c=8.3465 alpha=90.00 beta=90.00 gamma=90.00
With the nearest neighbours (Å) after each atom.
Sites, in units of the cell vectors:
Ca 0.0000 0.0000 0.0000  8 Sm 3.61
Ca 0.0000 0.5000 0.5000  8 Sm 3.61
Ca 0.5000 0.0000 0.5000  8 Sm 3.61
Ca 0.5000 0.5000 0.0000  8 Sm 3.61
La 0.0000 0.0000 0.5000  8 Sm 3.61
La 0.0000 0.5000 0.0000  8 Sm 3.61
La 0.5000 0.0000 0.0000  8 Sm 3.61
La 0.5000 0.5000 0.5000  8 Sm 3.61
Sm 0.2500 0.2500 0.2500  4 La 3.61, 4 Ca 3.61
Sm 0.2500 0.2500 0.7500  4 La 3.61, 4 Ca 3.61
Sm 0.2500 0.7500 0.2500  4 La 3.61, 4 Ca 3.61
Sm 0.2500 0.7500 0.7500  4 La 3.61, 4 Ca 3.61
Sm 0.7500 0.2500 0.2500  4 La 3.61, 4 Ca 3.61
Sm 0.7500 0.2500 0.7500  4 La 3.61, 4 Ca 3.61
Sm 0.7500 0.7500 0.2500  4 La 3.61, 4 Ca 3.61
Sm 0.7500 0.7500 0.7500  4 La 3.61, 4 Ca 3.61

Values from the calculation:
ΔH_f (0 K), eV per formula unit: 0.6
E above lowest polymorph, meV per atom: 108.7
Space-group type: No. 225

This record from the Alexandria database describes a relaxed structure of ZrBr2. The functional is PBE-GGA.

Unit cell a=3.3651 b=3.3651 c=14.2998 alpha=90.00 beta=90.00 gamma=90.00
With the nearest neighbours (Å) after each atom.
Sites, in units of the cell vectors:
Zr 0.0000 0.0000 0.0000  8 Br 2.90
Zr 0.5000 0.5000 0.5000  8 Br 2.90
Br 0.0000 0.0000 0.3842  4 Zr 2.90
Br 0.0000 0.0000 0.6158  4 Zr 2.90
Br 0.5000 0.5000 0.1158  4 Zr 2.90
Br 0.5000 0.5000 0.8842  4 Zr 2.90

Values from the calculation:
Raw total energy, eV/atom: -4.992
Space-group type: No. 139

This record from the Alexandria database describes a relaxed structure of RbU3Tl2S8. The functional is PBE-GGA.

Unit cell a=9.1236 b=9.1236 c=9.1236 alpha=53.07 beta=53.07 gamma=53.07
With the nearest neighbours (Å) after each atom.
Sites, in units of the cell vectors:
Rb 0.0000 0.0000 0.0000  4 S 3.17-3.21
U 0.1375 0.6370 0.6370  6 S 2.65-2.73
U 0.6370 0.1375 0.6370  6 S 2.65-2.73
U 0.6370 0.6370 0.1375  6 S 2.65-2.73
Tl 0.2605 0.2605 0.2605  3 S 2.96
Tl 0.6420 0.6420 0.6420  6 S 3.18-3.35
S 0.3809 0.3809 0.8330  2 U 2.67, 1 Tl 2.96
S 0.3809 0.8330 0.3809  2 U 2.67, 1 Tl 2.96
S 0.4111 0.4111 0.4111  3 U 2.73
S 0.4459 0.8927 0.8927  2 U 2.65
S 0.8330 0.3809 0.3809  2 U 2.67, 1 Tl 2.96
S 0.8630 0.8630 0.8630  3 U 2.73
S 0.8927 0.4459 0.8927  2 U 2.65
S 0.8927 0.8927 0.4459  2 U 2.65

Values from the calculation:
Raw total energy, eV/atom: -6.341
Space-group type: No. 160

This record from the Alexandria database describes a relaxed structure of CaAu2Br. The functional is PBE-GGA.

Unit cell a=8.8357 b=8.8357 c=5.4694 alpha=90.00 beta=90.00 gamma=90.00
With the nearest neighbours (Å) after each atom.
Sites, in units of the cell vectors:
Ca 0.0000 0.0000 0.0000  2 Br 2.73
Ca 0.0000 0.5000 0.2500  2 Br 2.73
Ca 0.5000 0.0000 0.7500  2 Br 2.73
Ca 0.5000 0.5000 0.5000  2 Br 2.73
Au 0.2467 0.2500 0.1250  2 Au 2.74
Au 0.2500 0.7467 0.3750  2 Au 2.74
Au 0.2500 0.7533 0.8750  2 Au 2.74
Au 0.2533 0.2500 0.6250  2 Au 2.74
Au 0.7467 0.7500 0.6250  2 Au 2.74
Au 0.7500 0.2467 0.8750  2 Au 2.74
Au 0.7500 0.2533 0.3750  2 Au 2.74
Au 0.7533 0.7500 0.1250  2 Au 2.74
Br 0.0000 0.0000 0.5000  2 Ca 2.73
Br 0.0000 0.5000 0.7500  2 Ca 2.73
Br 0.5000 0.0000 0.2500  2 Ca 2.73
Br 0.5000 0.5000 0.0000  2 Ca 2.73

Values from the calculation:
E above lowest polymorph, meV per atom: 269.1
Space-group type: No. 122